[1]
# Ni3P2Pt4 | Alexandria via LeMat-Bulk | PBE | optimized geometry
# * SG: C2/m, No. 12
# * energy: -54.39 eV/cell
# * magnetic moment: 0.000 μB/atom
# * DOS at the Fermi energy: 5.022 states/eV per cell
data_Ni3P2Pt4
_chemical_formula_sum 'Ni3 P2 Pt4'
_cell_length_a 3.883
_cell_length_b 5.012
_cell_length_c 6.725
_cell_angle_alpha 97.56
_cell_angle_beta 106.78
_cell_angle_gamma 90.00
_space_group_name_H-M_alt 'P 1'
_space_group_IT_number 1
loop_
_space_group_symop_operation_xyz
'x,y,z'
loop_
_atom_site_label
_atom_site_type_symbol
_atom_site_fract_x
_atom_site_fract_y
_atom_site_fract_z
P1 P 0.400 0.635 0.800
P2 P 0.600 0.365 0.200
Pt1 Pt 0.226 0.720 0.451
Ni1 Ni 0.864 0.817 0.729
Pt2 Pt 0.418 0.173 0.835
Pt3 Pt 0.582 0.827 0.165
Ni2 Ni 0.000 0.500 0.000
Ni3 Ni 0.136 0.183 0.271
Pt4 Pt 0.774 0.280 0.549

=====

[2]
# Ti12BeAl3 | Alexandria via LeMat-Bulk | PBE | optimized geometry
# * SG: P4/mmm, No. 123
# * energy: -112.83 eV/cell
# * magnetic moment: 0.000 μB/atom
# * DOS at the Fermi energy: 18.310 states/eV per cell
data_Ti12BeAl3
_chemical_formula_sum 'Ti12 Be1 Al3'
_cell_length_a 4.019
_cell_length_b 4.019
_cell_length_c 16.028
_cell_angle_alpha 90.00
_cell_angle_beta 90.00
_cell_angle_gamma 90.00
_space_group_name_H-M_alt 'P 1'
_space_group_IT_number 1
loop_
_space_group_symop_operation_xyz
'x,y,z'
loop_
_atom_site_label
_atom_site_type_symbol
_atom_site_fract_x
_atom_site_fract_y
_atom_site_fract_z
Ti1 Ti 0.500 0.000 0.119
Ti2 Ti 0.000 0.500 0.627
Ti3 Ti 0.500 0.500 0.755
Ti4 Ti 0.500 0.000 0.627
Ti5 Ti 0.500 0.500 0.245
Ti6 Ti 0.000 0.500 0.119
Ti7 Ti 0.500 0.500 0.000
Al1 Al 0.000 0.000 0.755
Ti8 Ti 0.500 0.000 0.881
Al2 Al 0.000 0.000 0.500
Ti9 Ti 0.500 0.500 0.500
Al3 Al 0.000 0.000 0.245
Ti10 Ti 0.500 0.000 0.373
Be1 Be 0.000 0.000 0.000
Ti11 Ti 0.000 0.500 0.881
Ti12 Ti 0.000 0.500 0.373

=====

[3]
# UVPt2 | Alexandria via LeMat-Bulk | PBE | optimized geometry
# * SG: P4/mmm, No. 123
# * energy above the lowest structure with this stoichiometry: 0.131 eV per atom
# * magnetic moment: 0.995 μB/atom
# * DOS at the Fermi energy: 8.742 states/eV per cell
data_UVPt2
_chemical_formula_sum 'U1 V1 Pt2'
_cell_length_a 3.161
_cell_length_b 3.161
_cell_length_c 7.094
_cell_angle_alpha 90.00
_cell_angle_beta 90.00
_cell_angle_gamma 90.00
_space_group_name_H-M_alt 'P 1'
_space_group_IT_number 1
loop_
_space_group_symop_operation_xyz
'x,y,z'
loop_
_atom_site_label
_atom_site_type_symbol
_atom_site_fract_x
_atom_site_fract_y
_atom_site_fract_z
U1 U 0.500 0.500 0.500
V1 V 0.500 0.500 0.000
Pt1 Pt 0.000 0.000 0.787
Pt2 Pt 0.000 0.000 0.213

=====

[4]
# In2Sn3Pd7 | Alexandria via LeMat-Bulk | PBE | optimized geometry
# * SG: Cmmm, No. 65
# * energy: -58.43 eV/cell
# * magnetic moment: 0.000 μB/atom
# * DOS at the Fermi energy: 4.879 states/eV per cell
data_In2Sn3Pd7
_chemical_formula_sum 'In2 Sn3 Pd7'
_cell_length_a 4.775
_cell_length_b 4.748
_cell_length_c 10.502
_cell_angle_alpha 103.07
_cell_angle_beta 90.00
_cell_angle_gamma 90.00
_space_group_name_H-M_alt 'P 1'
_space_group_IT_number 1
loop_
_space_group_symop_operation_xyz
'x,y,z'
loop_
_atom_site_label
_atom_site_type_symbol
_atom_site_fract_x
_atom_site_fract_y
_atom_site_fract_z
Pd1 Pd 0.000 0.427 0.855
Pd2 Pd 0.000 0.000 0.000
Sn1 Sn 0.500 0.340 0.680
Pd3 Pd 0.000 0.285 0.569
Pd4 Pd 0.000 0.573 0.145
Pd5 Pd 0.000 0.715 0.431
Sn2 Sn 0.500 0.500 0.000
Sn3 Sn 0.500 0.660 0.320
In1 In 0.000 0.853 0.706
Pd6 Pd 0.500 0.925 0.850
In2 In 0.000 0.147 0.294
Pd7 Pd 0.500 0.075 0.150

=====

[5]
# CsMoOs3 | Alexandria via LeMat-Bulk | PBE | optimized geometry
# * SG: Pm-3m, No. 221
# * energy above the lowest structure with this stoichiometry: 0.000 eV per atom
# * magnetic moment: 0.428 μB/atom
# * DOS at the Fermi energy: 8.685 states/eV per cell
data_CsMoOs3
_chemical_formula_sum 'Cs1 Mo1 Os3'
_cell_length_a 4.894
_cell_length_b 4.894
_cell_length_c 4.894
_cell_angle_alpha 90.00
_cell_angle_beta 90.00
_cell_angle_gamma 90.00
_space_group_name_H-M_alt 'P 1'
_space_group_IT_number 1
loop_
_space_group_symop_operation_xyz
'x,y,z'
loop_
_atom_site_label
_atom_site_type_symbol
_atom_site_fract_x
_atom_site_fract_y
_atom_site_fract_z
Cs1 Cs 0.500 0.500 0.500
Os1 Os 0.000 0.500 0.000
Os2 Os 0.500 0.000 0.000
Os3 Os 0.000 0.000 0.500
Mo1 Mo 0.000 0.000 0.000

=====

[6]
# SmLuInGa | Alexandria via LeMat-Bulk | PBE | optimized geometry
# * SG: F-43m, No. 216
# * energy: -16.91 eV/cell
# * magnetic moment: 0.000 μB/atom
# * DOS at the Fermi energy: 0.997 states/eV per cell
data_SmLuInGa
_chemical_formula_sum 'Sm1 Lu1 In1 Ga1'
_cell_length_a 5.199
_cell_length_b 5.199
_cell_length_c 5.199
_cell_angle_alpha 60.00
_cell_angle_beta 60.00
_cell_angle_gamma 60.00
_space_group_name_H-M_alt 'P 1'
_space_group_IT_number 1
loop_
_space_group_symop_operation_xyz
'x,y,z'
loop_
_atom_site_label
_atom_site_type_symbol
_atom_site_fract_x
_atom_site_fract_y
_atom_site_fract_z
Lu1 Lu 0.500 0.500 0.500
Sm1 Sm 0.000 0.000 0.000
Ga1 Ga 0.250 0.250 0.250
In1 In 0.750 0.750 0.750